No. 1
Ti5SiSb2 PBE optimized geometry; energy relative to the elements, uncorrected = -0.6361 eV per atom
1.0
-5.221 5.221 2.554
5.221 -5.221 2.554
5.221 5.221 -2.554
Ti Si Sb
10 2 4
direct
0.073 0.791 0.864
0.209 0.073 0.282
0.250 0.750 0.500
0.291 0.573 0.864
0.427 0.291 0.718
0.573 0.709 0.282
0.709 0.427 0.136
0.750 0.250 0.500
0.791 0.927 0.718
0.927 0.209 0.136
0.250 0.250 0.000
0.750 0.750 0.000
0.164 0.336 0.500
0.336 0.836 0.171
0.664 0.164 0.829
0.836 0.664 0.500

***

No. 2
Pm5Rh3 PBE optimized geometry; formation energy = -0.629 eV per atom
1.0
11.193 0.000 0.000
0.000 11.193 0.000
0.000 0.000 6.500
Pm Rh
20 12
direct
0.041 0.160 0.118
0.041 0.340 0.618
0.160 0.041 0.618
0.160 0.459 0.118
0.250 0.750 0.000
0.250 0.750 0.500
0.340 0.041 0.118
0.340 0.459 0.618
0.459 0.160 0.618
0.459 0.340 0.118
0.541 0.660 0.882
0.541 0.840 0.382
0.660 0.541 0.382
0.660 0.959 0.882
0.750 0.250 0.000
0.750 0.250 0.500
0.840 0.541 0.882
0.840 0.959 0.382
0.959 0.660 0.382
0.959 0.840 0.882
0.095 0.595 0.750
0.095 0.905 0.250
0.250 0.250 0.377
0.250 0.250 0.877
0.405 0.595 0.250
0.405 0.905 0.750
0.595 0.095 0.250
0.595 0.405 0.750
0.750 0.750 0.123
0.750 0.750 0.623
0.905 0.095 0.750
0.905 0.405 0.250

***

No. 3
Be3Ag5 PBE optimized geometry; formation energy = 0.135 eV per atom
1.0
2.929 0.000 0.000
0.000 2.929 0.000
0.000 0.000 13.115
Be Ag
3 5
direct
0.000 0.000 0.000
0.500 0.500 0.388
0.500 0.500 0.612
0.000 0.000 0.275
0.000 0.000 0.500
0.000 0.000 0.725
0.500 0.500 0.112
0.500 0.500 0.888

***

No. 4
Ba3Tl8Sn3 PBE optimized geometry; formation energy = -0.275 eV per atom
1.0
-2.605 6.047 7.464
2.605 -6.047 7.464
2.605 6.047 -7.464
Ba Tl Sn
3 8 3
direct
0.000 0.000 0.000
0.313 0.313 0.000
0.687 0.687 0.000
0.025 0.654 0.370
0.140 0.858 0.282
0.284 0.654 0.630
0.425 0.142 0.282
0.575 0.858 0.718
0.716 0.346 0.370
0.860 0.142 0.718
0.975 0.346 0.630
0.310 0.500 0.810
0.500 0.000 0.500
0.690 0.500 0.190

***

No. 5
TbPu2Si PBE optimized geometry; energy relative to the elements, uncorrected = 0.1011 eV per atom
1.0
0.000 3.635 3.635
3.635 0.000 3.635
3.635 3.635 0.000
Tb Pu Si
1 2 1
direct
0.000 0.000 0.000
0.250 0.250 0.250
0.750 0.750 0.750
0.500 0.500 0.500

***

No. 6
DyCu2Si PBE optimized geometry; energy relative to the elements, uncorrected = -0.3968 eV per atom
1.0
3.884 0.000 0.000
0.000 3.884 0.000
0.000 0.000 9.100
Dy Cu Si
2 4 2
direct
0.250 0.250 0.236
0.750 0.750 0.764
0.250 0.250 0.922
0.250 0.750 0.500
0.750 0.250 0.500
0.750 0.750 0.078
0.250 0.250 0.655
0.750 0.750 0.345

***

No. 7
TaPS2Cl PBE optimized geometry; energy relative to the elements, uncorrected = 1.3355 eV per atom
1.0
4.500 0.000 0.000
0.000 4.500 0.000
0.000 0.000 4.436
Ta P S Cl
1 1 2 1
direct
0.000 0.000 0.000
0.500 0.500 0.000
0.000 0.500 0.500
0.500 0.000 0.500
0.500 0.500 0.500

***

Record-wise total energy values, in eV per atom: -7.28, -6.36, -3.04, -2.90, -9.58, -4.95, -4.14